Material: TcIr2Pt
Method: DFT, meta-GGA SCAN
State: single point on PBEsol structure

DOS at the Fermi energy in states/eV per cell: 4.4
Formation enthalpy at 0 K in eV per atom: 0.3915
V in Å³ per cell: 58.7

Unit cell a=4.3621 b=4.3621 c=4.3621 alpha=60.00 beta=60.00 gamma=60.00
Last column: nearest neighbours and their distance in Å.
Element x y z (fractional)
Ir 0.2500 0.2500 0.2500  4 Pt 2.67, 4 Tc 2.67
Ir 0.7500 0.7500 0.7500  4 Tc 2.67, 4 Pt 2.67
Pt 0.0000 0.0000 0.0000  8 Ir 2.67
Tc 0.5000 0.5000 0.5000  8 Ir 2.67

Material: ScOsCl2
Method: DFT, meta-GGA SCAN
State: single point on PBEsol structure

Formation energy (no corrections) in eV/atom: -0.38
DOS at the Fermi energy in states/eV per cell: 1.3
V in Å³ per cell: 75.2

Unit cell a=3.0776 b=4.0047 c=6.6048 alpha=107.65 beta=103.47 gamma=90.00
Last column: nearest neighbours and their distance in Å.
Element x y z (fractional)
Sc 0.8194 0.8194 0.6388  2 Os 2.51, 6 Cl 2.78-2.80
Os 0.4818 0.9818 0.9637  2 Sc 2.51, 4 Cl 2.53
Cl 0.9776 0.4776 0.9552  4 Os 2.53, 2 Sc 2.78
Cl 0.2212 0.2212 0.4424  4 Sc 2.80, 2 Cl 3.08

Material: Pr2P3Au
Method: DFT, meta-GGA SCAN
State: single point on PBEsol structure

DOS at the Fermi energy in states/eV per cell: 2.4
Formation enthalpy at 0 K in eV per atom: -1.1955
V in Å³ per cell: 511.0

Unit cell a=4.1502 b=7.6956 c=15.9996 alpha=90.00 beta=90.00 gamma=90.00
Last column: nearest neighbours and their distance in Å.
Element x y z (fractional)
Pr 0.2500 0.5952 0.7054  7 P 2.88-3.10
Pr 0.7500 0.7668 0.4737  6 P 2.90-2.98
Pr 0.7500 0.9048 0.2054  7 P 2.88-3.10
Pr 0.7500 0.4048 0.2946  7 P 2.88-3.10
Pr 0.2500 0.7332 0.9737  6 P 2.90-2.98
Pr 0.7500 0.2668 0.0263  6 P 2.90-2.98
Pr 0.2500 0.0952 0.7946  7 P 2.88-3.10
Pr 0.2500 0.2332 0.5263  6 P 2.90-2.98
P 0.2500 0.8803 0.5891  2 Au 2.43
P 0.2500 0.7037 0.2991  1 P 2.18
P 0.2500 0.2037 0.2009  1 P 2.18
P 0.7500 0.2963 0.7009  1 P 2.18
P 0.2500 0.5309 0.4075  1 P 2.18
P 0.7500 0.1197 0.4109  2 Au 2.43
P 0.2500 0.3803 0.9109  2 Au 2.43
P 0.7500 0.9691 0.9075  1 P 2.18
P 0.2500 0.0309 0.0925  1 P 2.18
P 0.7500 0.6197 0.0891  2 Au 2.43
P 0.7500 0.4691 0.5925  1 P 2.18
P 0.7500 0.7963 0.7991  1 P 2.18
Au 0.7500 0.9917 0.6477  3 P 2.43-2.49
Au 0.2500 0.0083 0.3523  3 P 2.43-2.49
Au 0.2500 0.5083 0.1477  3 P 2.43-2.49
Au 0.7500 0.4917 0.8523  3 P 2.43-2.49

Material: MgOs2Ru
Method: DFT, meta-GGA SCAN
State: single point on PBEsol structure

DOS at the Fermi energy in states/eV per cell: 3.0
Formation enthalpy at 0 K in eV per atom: 0.1547
V in Å³ per cell: 57.2

Unit cell a=2.7387 b=4.6192 c=4.8014 alpha=100.03 beta=106.57 gamma=90.00
Last column: nearest neighbours and their distance in Å.
Element x y z (fractional)
Mg 0.5000 0.0000 0.0000  6 Os 2.67-2.85, 4 Ru 2.69, 2 Mg 2.74
Os 0.2629 0.2581 0.5257  3 Ru 2.65-2.84, 6 Os 2.67-2.74, 3 Mg 2.67-2.85
Os 0.7371 0.7419 0.4743  3 Ru 2.65-2.84, 6 Os 2.67-2.74, 3 Mg 2.67-2.85
Ru 0.0000 0.5000 0.0000  6 Os 2.65-2.84, 4 Mg 2.69, 2 Ru 2.74

Material: ReAu3
Method: DFT, meta-GGA SCAN
State: single point on PBEsol structure

DOS at the Fermi energy in states/eV per cell: 2.4
Formation enthalpy at 0 K in eV per atom: 0.5099
V in Å³ per cell: 65.4

Unit cell a=2.6988 b=4.8085 c=5.0394 alpha=90.00 beta=89.93 gamma=90.00
Last column: nearest neighbours and their distance in Å.
Element x y z (fractional)
Au 0.7378 0.0000 0.7437  8 Au 2.70-2.95, 2 Re 2.79
Au 0.2622 0.0000 0.2563  8 Au 2.70-2.95, 2 Re 2.79
Au 0.5000 0.5000 0.0000  6 Au 2.70-2.80, 4 Re 2.86
Re 0.0000 0.5000 0.5000  2 Re 2.70, 8 Au 2.79-2.86

Material: Be3ZnW
Method: DFT, meta-GGA SCAN
State: single point on PBEsol structure

DOS at the Fermi energy in states/eV per cell: 1.9
Formation enthalpy at 0 K in eV per atom: 1.0587
V in Å³ per cell: 59.1

Unit cell a=3.8960 b=3.8960 c=3.8960 alpha=90.00 beta=90.00 gamma=90.00
Last column: nearest neighbours and their distance in Å.
Element x y z (fractional)
Be 0.0000 0.5000 0.0000  2 Zn 1.95
Be 0.0000 0.0000 0.5000  2 Zn 1.95
Be 0.5000 0.0000 0.0000  2 Zn 1.95
Zn 0.0000 0.0000 0.0000  6 Be 1.95
W 0.5000 0.5000 0.5000  12 Be 2.75

Material: Ag2IrBr
Method: DFT, meta-GGA SCAN
State: single point on PBEsol structure

Formation energy (no corrections) in eV/atom: 0.86
DOS at the Fermi energy in states/eV per cell: 1.7
V in Å³ per cell: 68.2

Unit cell a=3.9007 b=3.9007 c=5.2627 alpha=111.75 beta=111.75 gamma=90.00
Last column: nearest neighbours and their distance in Å.
Element x y z (fractional)
Ir 0.0000 0.0000 0.0000  4 Br 2.76, 8 Ag 2.97
Br 0.5000 0.5000 0.0000  4 Ir 2.76, 8 Ag 2.97
Ag 0.7500 0.2500 0.5000  4 Ag 2.76, 4 Br 2.97, 4 Ir 2.97
Ag 0.2500 0.7500 0.5000  4 Ag 2.76, 4 Br 2.97, 4 Ir 2.97

Material: Co2TcW
Method: DFT, meta-GGA SCAN
State: single point on PBEsol structure

DOS at the Fermi energy in states/eV per cell: 2.5
Formation enthalpy at 0 K in eV per atom: 0.1199
V in Å³ per cell: 49.1

Unit cell a=3.6644 b=3.6644 c=3.6583 alpha=90.00 beta=90.00 gamma=90.00
Last column: nearest neighbours and their distance in Å.
Element x y z (fractional)
Co 0.0000 0.5000 0.0000  4 Tc 2.59, 4 W 2.59, 4 Co 2.59
Co 0.5000 0.0000 0.0000  4 Tc 2.59, 4 W 2.59, 4 Co 2.59
Tc 0.5000 0.5000 0.5000  8 Co 2.59, 4 W 2.59
W 0.0000 0.0000 0.5000  8 Co 2.59, 4 Tc 2.59